1.
This record from the Alexandria database describes a PBEsol-optimized structure of ScSi7Rh3. The functional is SCAN.

For the uncorrected formation energy, the calculation gives -0.708 eV/atom. The density comes out at 5.77 g/cm³. Its total magnetization is 0.000 μB/atom.

Lattice parameters (Å, degrees): 7.4868 7.4868 7.8287 61.43 61.43 60.00
With the nearest neighbours (Å) after each atom.
Element x y z (fractional)
Rh 0.7500 0.4278 0.7500  7 Si 2.41-2.47
Rh 0.4278 0.0722 0.7500  7 Si 2.41-2.47
Rh 0.0722 0.7500 0.7500  7 Si 2.41-2.47
Rh 0.2500 0.5722 0.2500  7 Si 2.41-2.47
Rh 0.5722 0.9278 0.2500  7 Si 2.41-2.47
Rh 0.9278 0.2500 0.2500  7 Si 2.41-2.47
Sc 0.5000 0.5000 0.5000  6 Rh 3.02, 12 Si 3.06-3.13
Sc 0.0000 0.0000 0.0000  6 Rh 3.02, 12 Si 3.06-3.13
Si 0.8519 0.6707 0.4088  3 Rh 2.41-2.47, 4 Si 2.58-2.68
Si 0.6707 0.0685 0.4088  3 Rh 2.41-2.47, 4 Si 2.58-2.68
Si 0.0685 0.8519 0.4088  3 Rh 2.41-2.47, 4 Si 2.58-2.68
Si 0.4315 0.8293 0.0912  3 Rh 2.41-2.47, 4 Si 2.58-2.68
Si 0.6481 0.4315 0.0912  3 Rh 2.41-2.47, 4 Si 2.58-2.68
Si 0.8293 0.6481 0.0912  3 Rh 2.41-2.47, 4 Si 2.58-2.68
Si 0.1481 0.3293 0.5912  3 Rh 2.41-2.47, 4 Si 2.58-2.68
Si 0.3293 0.9315 0.5912  3 Rh 2.41-2.47, 4 Si 2.58-2.68
Si 0.9315 0.1481 0.5912  3 Rh 2.41-2.47, 4 Si 2.58-2.68
Si 0.5685 0.1707 0.9088  3 Rh 2.41-2.47, 4 Si 2.58-2.68
Si 0.3519 0.5685 0.9088  3 Rh 2.41-2.47, 4 Si 2.58-2.68
Si 0.1707 0.3519 0.9088  3 Rh 2.41-2.47, 4 Si 2.58-2.68
Si 0.7500 0.7500 0.7500  3 Rh 2.41, 6 Si 2.68
Si 0.2500 0.2500 0.2500  3 Rh 2.41, 6 Si 2.68

2.
This record from the Alexandria database describes a PBEsol-optimized structure of Mg2NiSe. The functional is SCAN.

For the uncorrected formation energy, the calculation gives -0.496 eV/atom. The density comes out at 4.58 g/cm³. Its total magnetization is 0.000 μB/atom.

Lattice parameters (Å, degrees): 3.6253 3.8205 5.2008 90.00 110.40 90.00
With the nearest neighbours (Å) after each atom.
Element x y z (fractional)
Mg 0.0950 0.0000 0.1899  3 Ni 2.63-2.89, 4 Se 2.77
Mg 0.4015 0.5000 0.8030  4 Ni 2.74, 3 Se 2.74-2.80
Ni 0.8254 0.0000 0.6508  2 Se 2.36, 1 Mg 2.63
Se 0.6830 0.5000 0.3660  2 Ni 2.36

3.
This record from the Alexandria database describes a PBEsol-optimized structure of CaCu4Pt. The functional is SCAN.

The density comes out at 9.70 g/cm³. Its total magnetization is 0.000 μB/atom. For the energy relative to the elements, the calculation gives -0.25 eV/atom.

Lattice parameters (Å, degrees): 4.9113 4.9113 4.9113 60.00 60.00 60.00
With the nearest neighbours (Å) after each atom.
Element x y z (fractional)
Ca 0.0000 0.0000 0.0000  12 Cu 2.88, 4 Pt 3.01
Cu 0.6242 0.6242 0.1274  6 Cu 2.44-2.47
Cu 0.1274 0.6242 0.6242  6 Cu 2.44-2.47
Cu 0.6242 0.1274 0.6242  6 Cu 2.44-2.47
Cu 0.6242 0.6242 0.6242  6 Cu 2.44-2.47
Pt 0.2500 0.2500 0.2500  12 Cu 2.88, 4 Ca 3.01

4.
This record from the Alexandria database describes a PBEsol-optimized structure of NaLa2HS. The functional is SCAN.

The density comes out at 3.70 g/cm³. Its total magnetization is 0.428 μB/atom. The calculated total energy comes out at -20.944 eV/atom.

Lattice parameters (Å, degrees): 4.9748 5.4848 5.4848 90.00 90.00 90.00
With the nearest neighbours (Å) after each atom.
Element x y z (fractional)
Na 0.5000 0.0000 0.0000  2 S 2.49
S 0.0000 0.0000 0.0000  2 Na 2.49, 4 La 2.74
H 0.5000 0.5000 0.5000  8 La 3.70, 4 Na 3.88
La 0.0000 0.0000 0.5000  2 S 2.74
La 0.0000 0.5000 0.0000  2 S 2.74

5.
This record from the Alexandria database describes a PBEsol-optimized structure of SrZr2Hg. The functional is SCAN.

The density comes out at 8.09 g/cm³. Its total magnetization is 0.000 μB/atom. For the energy relative to the elements, the calculation gives 0.25 eV/atom.

Lattice parameters (Å, degrees): 4.4350 4.4350 5.8265 112.37 112.37 90.00
With the nearest neighbours (Å) after each atom.
Element x y z (fractional)
Hg 0.5000 0.5000 0.0000  4 Sr 3.14, 8 Zr 3.31
Sr 0.0000 0.0000 0.0000  4 Hg 3.14, 8 Zr 3.31
Zr 0.7500 0.2500 0.5000  4 Zr 3.14, 4 Hg 3.31, 4 Sr 3.31
Zr 0.2500 0.7500 0.5000  4 Zr 3.14, 4 Hg 3.31, 4 Sr 3.31

6.
This record from the Alexandria database describes a PBEsol-optimized structure of BaAg3N. The functional is SCAN.

For the uncorrected formation energy, the calculation gives 0.437 eV/atom. The density comes out at 7.77 g/cm³. Its total magnetization is 0.000 μB/atom.

Lattice parameters (Å, degrees): 4.6655 4.6655 4.6655 90.00 90.00 90.00
With the nearest neighbours (Å) after each atom.
Element x y z (fractional)
Ba 0.5000 0.5000 0.5000  12 Ag 3.30
Ag 0.0000 0.5000 0.0000  2 N 2.33
Ag 0.0000 0.0000 0.5000  2 N 2.33
Ag 0.5000 0.0000 0.0000  2 N 2.33
N 0.0000 0.0000 0.0000  6 Ag 2.33

7.
This record from the Alexandria database describes a PBEsol-optimized structure of Zr3Bi. The functional is SCAN.

The density comes out at 9.02 g/cm³. Its total magnetization is 0.000 μB/atom. For the energy relative to the elements, the calculation gives -0.27 eV/atom.

Lattice parameters (Å, degrees): 5.1969 6.2834 6.2834 120.00 90.00 90.00
With the nearest neighbours (Å) after each atom.
Element x y z (fractional)
Bi 0.7500 0.3333 0.6667  12 Zr 3.14-3.19
Bi 0.2500 0.6667 0.3333  12 Zr 3.14-3.19
Zr 0.2500 0.6723 0.8362  8 Zr 3.09-3.19, 4 Bi 3.14-3.19
Zr 0.2500 0.1638 0.3277  8 Zr 3.09-3.19, 4 Bi 3.14-3.19
Zr 0.2500 0.1638 0.8362  8 Zr 3.09-3.19, 4 Bi 3.14-3.19
Zr 0.7500 0.3277 0.1638  8 Zr 3.09-3.19, 4 Bi 3.14-3.19
Zr 0.7500 0.8362 0.6723  8 Zr 3.09-3.19, 4 Bi 3.14-3.19
Zr 0.7500 0.8362 0.1638  8 Zr 3.09-3.19, 4 Bi 3.14-3.19

8.
This record from the Alexandria database describes a PBEsol-optimized structure of SrSb2Pd. The functional is SCAN.

For the uncorrected formation energy, the calculation gives -0.551 eV/atom. The density comes out at 6.09 g/cm³. Its total magnetization is 0.000 μB/atom.

Lattice parameters (Å, degrees): 5.1491 5.1491 9.7028 105.39 105.39 90.00
With the nearest neighbours (Å) after each atom.
Element x y z (fractional)
Sb 0.2571 0.8750 0.2500  2 Pd 2.68, 2 Sb 2.91
Sb 0.9929 0.3750 0.2500  2 Pd 2.68, 2 Sb 2.91
Sb 0.1250 0.0071 0.7500  2 Pd 2.68, 2 Sb 2.91
Sb 0.6250 0.7429 0.7500  2 Pd 2.68, 2 Sb 2.91
Pd 0.2500 0.7500 0.5000  4 Sb 2.68
Pd 0.0000 0.0000 0.0000  4 Sb 2.68
Sr 0.7500 0.2500 0.5000  4 Sb 3.21
Sr 0.5000 0.5000 0.0000  4 Sb 3.21